This record from Alexandria describes a geometry-optimized ErMg2InGa structure. The functional is PBE.

Unit cell a=8.8415 b=8.8415 c=8.3682 alpha=90.00 beta=90.00 gamma=157.48
With the nearest neighbours (Å) after each atom.
Sites, in units of the cell vectors:
Er (0.0974, 0.9026, 0.7500)  2 Ga 3.01, 4 In 3.20
Er (0.9026, 0.0974, 0.2500)  2 Ga 3.01, 4 In 3.20
Mg (0.3266, 0.6734, 0.5590)  3 Ga 2.80-2.83, 1 In 3.05
Mg (0.3266, 0.6734, 0.9410)  3 Ga 2.80-2.83, 1 In 3.05
Mg (0.6734, 0.3266, 0.0590)  3 Ga 2.80-2.83, 1 In 3.05
Mg (0.6734, 0.3266, 0.4410)  3 Ga 2.80-2.83, 1 In 3.05
In (0.5000, 0.5000, 0.0000)  2 Mg 3.05, 4 Er 3.20
In (0.5000, 0.5000, 0.5000)  2 Mg 3.05, 4 Er 3.20
Ga (0.2607, 0.7393, 0.2500)  6 Mg 2.80-2.83, 2 Er 3.01
Ga (0.7393, 0.2607, 0.7500)  6 Mg 2.80-2.83, 2 Er 3.01

Output
ΔE_f (eV per formula unit): -0.965
SG: Cmcm, No. 63
Total magnetization (μB/cell): 0.0